Rb2Ba8CaSb6O2 after structural relaxation, computed with PBE.

Geometry as POSCAR:
```
Rb2Ba8CaSb6O2
1.0
6.3259 -8.3421 0.0000
6.3259 8.3421 0.0000
-6.1655 0.0000 6.9119
Rb Ba Ca Sb O
2 8 1 6 2
Cartesian
0.0000 0.0000 0.0000
6.3259 -1.5485 0.0000
-2.8741 1.0005 5.4458
3.0212 4.0782 1.4696
1.4428 0.6182 3.8233
3.4651 4.0782 5.4423
5.0436 0.6182 3.0885
1.4052 -3.9736 3.7742
9.3604 1.0005 1.4661
5.0812 -3.9736 3.1377
6.3259 5.3527 0.0000
-1.5784 -1.6415 3.2726
6.3259 2.3004 0.0000
2.7725 -1.7448 1.2866
3.7139 -1.7448 5.6252
6.3259 -5.1316 0.0000
8.0648 -1.6415 3.6393
3.2432 2.3520 3.4559
3.2432 -5.7503 3.4559
```

## Properties
Uncorrected formation energy, kJ per mole of atoms: -115.4
V, Å³/cell: 730
Energy relative to the lowest polymorph listed for this composition, meV per atom: 7
Total DFT energy (no corrections), eV/atom: -4.04